No. 1
The following is a GGA-PBE calculation of an optimized crystal structure of Cs2TaSCl5, from Alexandria via LeMat-Bulk.

- SG = I4mm, No. 107
- M_tot (μB/atom) = 0.00
- E_form (uncorrected) (meV/atom) = -1634

Unit cell a=7.6218 b=7.6218 c=7.6218 alpha=86.88 beta=121.82 gamma=121.82
Last column: nearest neighbours and their distance in Å.
Atoms (fractional coordinates):
S (0.0000, 0.7808, 0.7808)  1 Ta 2.22
Cl (0.0000, 0.7749, 0.2337)  1 Ta 2.42
Cl (0.4588, 0.2337, 0.2337)  1 Ta 2.42
Ta (0.0000, 0.9815, 0.9815)  1 S 2.22, 4 Cl 2.42
Cl (0.5412, 0.7749, 0.7749)  1 Ta 2.42
Cs (0.5000, 0.2513, 0.7513)  2 S 3.72, 10 Cl 3.72-3.84
Cs (0.5000, 0.7513, 0.2513)  2 S 3.72, 10 Cl 3.72-3.84
Cl (0.0000, 0.2177, 0.2177)  1 Ta 2.61
Cl (0.0000, 0.2337, 0.7749)  1 Ta 2.42

No. 2
The following is a GGA-PBE calculation of an optimized crystal structure of CsTcS2Cl, from Alexandria via LeMat-Bulk.

- SG = P4/mmm, No. 123
- M_tot (μB/atom) = 0.00
- E_form (uncorrected) (meV/atom) = -600

Unit cell a=4.6705 b=4.6705 c=5.4586 alpha=90.00 beta=90.00 gamma=90.00
Last column: nearest neighbours and their distance in Å.
Atoms (fractional coordinates):
Cs (0.5000, 0.5000, 0.5000)  4 Cl 3.30, 8 S 3.59
S (0.0000, 0.5000, 0.0000)  2 Tc 2.34
Cl (0.0000, 0.0000, 0.5000)  2 Tc 2.73
Tc (0.0000, 0.0000, 0.0000)  4 S 2.34
S (0.5000, 0.0000, 0.0000)  2 Tc 2.34

No. 3
The following is a GGA-PBE calculation of an optimized crystal structure of Cs2TcSCl5, from Alexandria via LeMat-Bulk.

- SG = I4mm, No. 107
- M_tot (μB/atom) = 0.22
- E_form (uncorrected) (meV/atom) = -1188

Unit cell a=7.4388 b=7.4388 c=7.4388 alpha=91.24 beta=119.29 gamma=119.29
Last column: nearest neighbours and their distance in Å.
Atoms (fractional coordinates):
Cs (0.5000, 0.7525, 0.2525)  10 Cl 3.72-3.77, 2 S 3.77
Cl (0.5501, 0.7769, 0.7769)  1 Tc 2.40
S (0.0000, 0.7773, 0.7773)  1 Tc 2.16
Cl (0.0000, 0.2253, 0.2253)  1 Tc 2.50
Cl (0.0000, 0.2268, 0.7769)  1 Tc 2.40
Cl (0.4499, 0.2268, 0.2268)  1 Tc 2.40
Cs (0.5000, 0.2525, 0.7525)  10 Cl 3.72-3.77, 2 S 3.77
Cl (0.0000, 0.7769, 0.2268)  1 Tc 2.40
Tc (0.0000, 0.9850, 0.9850)  1 S 2.16, 4 Cl 2.40

No. 4
The following is a GGA-PBE calculation of an optimized crystal structure of CsTcS2Cl, from Alexandria via LeMat-Bulk.

- SG = P4/mmm, No. 123
- M_tot (μB/atom) = 1.02
- E_form (uncorrected) (meV/atom) = 1405

Unit cell a=5.4205 b=5.4205 c=5.9714 alpha=90.00 beta=90.00 gamma=90.00
Last column: nearest neighbours and their distance in Å.
Atoms (fractional coordinates):
Cs (0.0000, 0.0000, 0.0000)  4 S 2.71, 2 Cl 2.99
Tc (0.5000, 0.5000, 0.5000)  4 Cl 3.83, 8 S 4.03
S (0.0000, 0.5000, 0.0000)  2 Cs 2.71
S (0.5000, 0.0000, 0.0000)  2 Cs 2.71
Cl (0.0000, 0.0000, 0.5000)  2 Cs 2.99

No. 5
The following is a GGA-PBE calculation of an optimized crystal structure of CsTiS2Cl, from Alexandria via LeMat-Bulk.

- SG = P4/mmm, No. 123
- M_tot (μB/atom) = 0.40
- E_form (uncorrected) (meV/atom) = 855

Unit cell a=5.4118 b=5.4118 c=5.9517 alpha=90.00 beta=90.00 gamma=90.00
Last column: nearest neighbours and their distance in Å.
Atoms (fractional coordinates):
S (0.0000, 0.5000, 0.0000)  2 Cs 2.71
Cl (0.0000, 0.0000, 0.5000)  2 Cs 2.98
Ti (0.5000, 0.5000, 0.5000)  4 Cl 3.83, 8 S 4.02
Cs (0.0000, 0.0000, 0.0000)  4 S 2.71, 2 Cl 2.98
S (0.5000, 0.0000, 0.0000)  2 Cs 2.71

No. 6
The following is a GGA-PBE calculation of an optimized crystal structure of CsTiSCl2, from Alexandria via LeMat-Bulk.

- SG = P4/mmm, No. 123
- M_tot (μB/atom) = 0.20
- E_form (uncorrected) (meV/atom) = -1497

Unit cell a=5.1900 b=5.1900 c=4.7605 alpha=90.00 beta=90.00 gamma=90.00
Last column: nearest neighbours and their distance in Å.
Atoms (fractional coordinates):
Cs (0.5000, 0.5000, 0.5000)  8 Cl 3.52, 4 S 3.67
S (0.0000, 0.0000, 0.5000)  2 Ti 2.38
Cl (0.5000, 0.0000, 0.0000)  2 Ti 2.60
Ti (0.0000, 0.0000, 0.0000)  2 S 2.38, 4 Cl 2.60
Cl (0.0000, 0.5000, 0.0000)  2 Ti 2.60